(1)
BaCaZnAs2: optimized geometry, PBE.

a b c (Å): 5.2246 5.2246 5.3933
angles (deg): 90.00 90.00 90.00
Closest atoms and distances in Å follow each position.
Space group P4/mmm (No. 123)
Symmetry-distinct sites (fractional):
Ba  0.0000  0.0000  0.0000 (multiplicity 1)  2 Zn 2.70
Ca  0.5000  0.5000  0.0000 (multiplicity 1)  4 Ba 3.69, 8 As 3.75
Zn  0.0000  0.0000  0.5000 (multiplicity 1)  4 As 2.61, 2 Ba 2.70
As  0.0000  0.5000  0.5000 (multiplicity 2)  2 Zn 2.61

Properties
**Energy above the most stable polymorph in this dataset**: 0.8550 eV/atom
**Energy**: -0.1066 Ha/atom
**Formation energy**: 0.00 eV per atom
**Crystal system**: tetragonal
**Spin magnetization**: 0.0000 μB/atom


(2)
BaCaZnAs2: optimized geometry, PBE.

a b c (Å): 7.6324 5.2504 8.1618
angles (deg): 90.00 103.63 90.00
Closest atoms and distances in Å follow each position.
Space group P2/c (No. 13)
Symmetry-distinct sites (fractional):
Ba  0.0000  0.2138  0.2500 (multiplicity 2)  6 As 3.39-3.51
Ca  0.5000  0.4735  0.7500 (multiplicity 2)  4 As 2.99-3.03, 2 Zn 3.22
Zn  0.5000  0.0000  0.0000 (multiplicity 2)  2 As 2.33
As  0.2508  0.2709  0.9587 (multiplicity 4)  1 Zn 2.33

Properties
**Energy above the most stable polymorph in this dataset**: 0.0000 eV/atom
**Energy**: -0.1380 Ha/atom
**Formation energy**: -0.86 eV per atom
**Crystal system**: monoclinic
**Spin magnetization**: 0.0000 μB/atom


(3)
Ba2Cd2As: optimized geometry, PBE.

a b c (Å): 8.1753 8.1753 5.0910
angles (deg): 90.00 90.00 90.00
Closest atoms and distances in Å follow each position.
Space group P4/mbm (No. 127)
Symmetry-distinct sites (fractional):
Ba  0.1842  0.3158  0.0000 (multiplicity 4)  6 Cd 3.38-3.61
Cd  0.1237  0.6237  0.5000 (multiplicity 4)  1 Cd 2.86
As  0.0000  0.0000  0.5000 (multiplicity 2)  4 Cd 3.24

Properties
**Energy above the most stable polymorph in this dataset**: 0.1685 eV/atom
**Energy**: -0.0891 Ha/atom
**Formation energy**: -0.36 eV per atom
**Crystal system**: tetragonal
**Spin magnetization**: 0.0000 μB/atom


(4)
Ba2CdAs: optimized geometry, PBE.

a b c (Å): 4.1767 4.1767 8.1642
angles (deg): 90.00 90.00 90.00
Closest atoms and distances in Å follow each position.
Space group P4/mmm (No. 123)
Symmetry-distinct sites (fractional):
Ba  0.0000  0.0000  0.2117 (multiplicity 2)  4 As 3.42, 1 Ba 3.46, 4 Cd 3.78
Cd  0.5000  0.5000  0.5000 (multiplicity 1)  8 Ba 3.78, 2 As 4.08, 4 Cd 4.18
As  0.5000  0.5000  0.0000 (multiplicity 1)  8 Ba 3.42

Properties
**Energy above the most stable polymorph in this dataset**: 0.0000 eV/atom
**Energy**: -0.1120 Ha/atom
**Formation energy**: -0.69 eV per atom
**Crystal system**: tetragonal
**Spin magnetization**: 0.0000 μB/atom


(5)
BaCdAs2: optimized geometry, PBE.

a b c (Å): 11.3659 4.0180 5.5613
angles (deg): 90.00 114.71 90.00
Closest atoms and distances in Å follow each position.
Space group Cm (No. 8)
Symmetry-distinct sites (fractional):
Ba  0.0000  0.0000  0.0000 (multiplicity 2)  8 As 3.41-3.73, 4 Cd 3.50-3.64
Cd  0.2083  0.0000  0.6817 (multiplicity 2)  5 As 3.22-3.54, 2 Ba 3.50-3.53
As  0.3006  0.5000  0.3419 (multiplicity 2)  2 As 2.60
As  0.4605  0.0000  0.4665 (multiplicity 2)  2 As 2.60

Properties
**Energy**: -0.1260 Ha/atom
**Formation energy**: -0.39 eV per atom
**Crystal system**: monoclinic
**Spin magnetization**: 0.0000 μB/atom


(6)
Ba2CdAs: optimized geometry, PBE.

a b c (Å): 4.6590 4.6590 27.9792
angles (deg): 90.00 90.00 120.00
Closest atoms and distances in Å follow each position.
Space group R3m (No. 160, hexagonal axes)
Symmetry-distinct sites (fractional):
Ba  0.0000  0.0000  0.0000 (multiplicity 3)  3 As 3.25
Ba  0.0000  0.0000  0.1758 (multiplicity 3)  3 Cd 3.40
Cd  0.0000  0.0000  0.4351 (multiplicity 3)  3 As 2.88
As  0.0000  0.0000  0.7320 (multiplicity 3)  3 Cd 2.88

Properties
**Energy above the most stable polymorph in this dataset**: 0.1961 eV/atom
**Energy**: -0.1047 Ha/atom
**Formation energy**: -0.50 eV per atom
**Crystal system**: trigonal
**Spin magnetization**: 0.0505 μB/atom


(7)
BaCd2As2: optimized geometry, PBE.

a b c (Å): 9.3607 11.0957 11.3502
angles (deg): 90.00 90.00 90.00
Closest atoms and distances in Å follow each position.
Space group Fddd (No. 70, origin choice 2)
Symmetry-distinct sites (fractional):
Ba  0.1250  0.1250  0.1250 (multiplicity 8)  6 As 3.32-3.66
Cd  0.1250  0.2603  0.6250 (multiplicity 16)  4 As 2.71-2.80, 1 Cd 3.00
As  0.1250  0.1250  0.4173 (multiplicity 16)  4 Cd 2.71-2.80

Properties
**Energy**: -0.1166 Ha/atom
**Formation energy**: -0.56 eV per atom
**Crystal system**: orthorhombic
**Spin magnetization**: 0.0000 μB/atom


(8)
Ba2Cd2As: optimized geometry, PBE.

a b c (Å): 6.7160 6.7160 8.2980
angles (deg): 90.00 90.00 90.00
Closest atoms and distances in Å follow each position.
Space group I4/mmm (No. 139)
Symmetry-distinct sites (fractional):
Ba  0.0000  0.5000  0.2500 (multiplicity 4)  4 Cd 3.43
Cd  0.0000  0.0000  0.1640 (multiplicity 4)  1 Cd 2.72, 1 As 2.79
As  0.0000  0.0000  0.5000 (multiplicity 2)  2 Cd 2.79

Properties
**Energy above the most stable polymorph in this dataset**: 0.3247 eV/atom
**Energy**: -0.0834 Ha/atom
**Formation energy**: -0.20 eV per atom
**Crystal system**: tetragonal
**Spin magnetization**: 0.0000 μB/atom


Among the records above, which one has the lowest energy?
number 2